Material: K2TlRh
Method: DFT, PBE
State: relaxed

```
data_K2TlRh
_symmetry_space_group_name_H-M 'I m m m'
_symmetry_Int_Tables_number 71
_symmetry_space_group_name_Hall '-I 2 2'
_cell_length_a 3.383
_cell_length_b 4.358
_cell_length_c 19.590
_cell_angle_alpha 90.00
_cell_angle_beta 90.00
_cell_angle_gamma 90.00
loop_
_atom_site_label
_atom_site_type_symbol
_atom_site_fract_x
_atom_site_fract_y
_atom_site_fract_z
K1 K 0.000 0.000 0.147
Tl1 Tl 0.000 0.500 0.000
Rh1 Rh 0.000 0.500 0.500
```

## Properties
* DFT formation energy: 0.09 eV/atom
* energy above the lowest structure with this stoichiometry: 0.00 eV per formula unit

---

Material: KTlRh2
Method: DFT, PBE
State: relaxed

```
data_KTlRh2
_symmetry_space_group_name_H-M 'I -4 m 2'
_symmetry_Int_Tables_number 119
_symmetry_space_group_name_Hall 'I -4 -2'
_cell_length_a 4.410
_cell_length_b 4.410
_cell_length_c 8.236
_cell_angle_alpha 90.00
_cell_angle_beta 90.00
_cell_angle_gamma 90.00
loop_
_atom_site_label
_atom_site_type_symbol
_atom_site_fract_x
_atom_site_fract_y
_atom_site_fract_z
K1 K 0.000 0.000 0.000
Tl1 Tl 0.000 0.500 0.250
Rh1 Rh 0.000 0.000 0.500
Rh2 Rh 0.000 0.500 0.750
```

## Properties
* DFT formation energy: 0.65 eV/atom
* energy above the lowest structure with this stoichiometry: 1.60 eV per formula unit

---

Material: K2Tl5Rh
Method: DFT, PBE
State: relaxed

```
data_K2Tl5Rh
_symmetry_space_group_name_H-M 'I 4 m m'
_symmetry_Int_Tables_number 107
_symmetry_space_group_name_Hall 'I 4 -2'
_cell_length_a 6.744
_cell_length_b 6.744
_cell_length_c 12.401
_cell_angle_alpha 90.00
_cell_angle_beta 90.00
_cell_angle_gamma 90.00
loop_
_atom_site_label
_atom_site_type_symbol
_atom_site_fract_x
_atom_site_fract_y
_atom_site_fract_z
K1 K 0.000 0.500 0.000
Tl1 Tl 0.000 0.000 0.080
Tl2 Tl 0.243 0.243 0.265
Rh1 Rh 0.000 0.000 0.863
```

## Properties
* DFT formation energy: 0.00 eV/atom

---

Material: K2Tl4Rh
Method: DFT, PBE
State: relaxed

```
data_K2Tl4Rh
_symmetry_space_group_name_H-M 'I 4/m m m'
_symmetry_Int_Tables_number 139
_symmetry_space_group_name_Hall '-I 4 2'
_cell_length_a 5.323
_cell_length_b 5.323
_cell_length_c 17.944
_cell_angle_alpha 90.00
_cell_angle_beta 90.00
_cell_angle_gamma 90.00
loop_
_atom_site_label
_atom_site_type_symbol
_atom_site_fract_x
_atom_site_fract_y
_atom_site_fract_z
K1 K 0.000 0.000 0.152
Tl1 Tl 0.000 0.000 0.347
Tl2 Tl 0.000 0.500 0.000
Rh1 Rh 0.000 0.000 0.500
```

## Properties
* DFT formation energy: -0.01 eV/atom